[1]
DFT (GGA-PBE) results for a geometry-optimized Na2Sc2AlGaCu2 structure.

Structure (CIF):
```
data_Na2Sc2AlGaCu2
_chemical_formula_sum 'Na2 Sc2 Al1 Ga1 Cu2'
_space_group_name_H-M_alt 'P -4 m 2'
_space_group_IT_number 115
_cell_length_a 4.586
_cell_length_b 4.586
_cell_length_c 6.484
_cell_angle_alpha 90.00
_cell_angle_beta 90.00
_cell_angle_gamma 90.00
loop_
_space_group_symop_operation_xyz
'x,y,z'
'y,-x,-z'
'-x,-y,z'
'-y,x,-z'
'-x,y,z'
'-y,-x,-z'
'x,-y,z'
'y,x,-z'
loop_
_atom_site_label
_atom_site_fract_x
_atom_site_fract_y
_atom_site_fract_z
Na1 0.000 0.500 0.246
Sc1 0.000 0.000 0.500
Sc2 0.500 0.500 0.000
Al1 0.500 0.500 0.500
Ga1 0.000 0.000 0.000
Cu1 0.000 0.500 0.746
```

Output
**VASP energy**: -3.7209 eV/atom

[2]
DFT (GGA-PBE) results for a geometry-optimized DyYU structure.

Structure (CIF):
```
data_DyYU
_chemical_formula_sum 'Dy4 Y4 U4'
_space_group_name_H-M_alt 'F -4 3 m'
_space_group_IT_number 216
_space_group_name_Hall 'F -4 2 3'
_cell_length_a 7.452
_cell_length_b 7.452
_cell_length_c 7.452
_cell_angle_alpha 90.00
_cell_angle_beta 90.00
_cell_angle_gamma 90.00
loop_
_atom_site_label
_atom_site_fract_x
_atom_site_fract_y
_atom_site_fract_z
Dy1 0.000 0.000 0.000
Y1 0.250 0.250 0.250
U1 0.250 0.250 0.750
```

Output
**Offset from the most stable computed form**: 0.000 eV per atom
**E_form**: 1.29 eV per atom

no.,calculated density (g cm⁻³)
1,4.38
2,7.85